1.
## TcRhC2 (SCAN)

Data for TcRhC2 at its PBEsol-relaxed geometry.

Structure (POSCAR):
```
TcRhC2
1.0
-2.275 2.275 4.528
2.275 -2.275 4.528
2.275 2.275 -4.528
Tc Rh C
2 2 4
Direct
0.000 0.000 0.000 Tc
0.750 0.250 0.500 Tc
0.250 0.750 0.500 Rh
0.500 0.500 0.000 Rh
0.118 0.625 0.993 C
0.375 0.368 0.493 C
0.632 0.125 0.007 C
0.875 0.882 0.507 C
```

Formation enthalpy at 0 K: 0.397 eV per atom
Crystal system: tetragonal


2.
## AlCo3 (SCAN)

Data for AlCo3 at its PBEsol-relaxed geometry.

Structure (POSCAR):
```
AlCo3
1.0
4.471 0.000 0.000
0.000 4.471 0.000
0.000 0.000 4.471
Al Co
2 6
Direct
0.000 0.000 0.000 Al
0.500 0.500 0.500 Al
0.000 0.250 0.500 Co
0.000 0.750 0.500 Co
0.250 0.500 0.000 Co
0.500 0.000 0.250 Co
0.500 0.000 0.750 Co
0.750 0.500 0.000 Co
```

Formation enthalpy at 0 K: -0.132 eV per atom
Crystal system: cubic


3.
## PtSeBr (SCAN)

Data for PtSeBr at its PBEsol-relaxed geometry.

Structure (POSCAR):
```
PtSeBr
1.0
-1.605 1.605 6.472
1.605 -1.605 6.472
1.605 1.605 -6.472
Pt Se Br
1 1 1
Direct
0.000 0.000 0.000 Pt
0.579 0.579 0.000 Se
0.302 0.302 0.000 Br
```

Crystal system: tetragonal
Uncorrected formation energy: 0.20 eV/atom


Number 1: total magnetization 0.00 μB/cell, VASP energy -21.860 eV per atom. Number 2: total magnetization 9.96 μB/cell, VASP energy -15.048 eV per atom. Number 3: total magnetization 0.00 μB/cell, VASP energy -36.376 eV per atom.